Ac4HIr2Pb | GGA-PBE | optimized geometry

Output
Its space-group type is Cmcm. As for the density of states at the Fermi level: 4.5 states/eV/f.u. As for the total energy: -46.1 eV per formula unit. The value obtained for the total magnetization is 0.00 μB/atom.

Lattice parameters (Å, degrees): 7.595 7.595 15.068 90.00 90.00 146.13
Element x y z (fractional)
Ac  0.000  0.000  0.000
Ac  0.000  0.000  0.500
Ac  0.266  0.734  0.610
Ac  0.266  0.734  0.890
Ac  0.421  0.579  0.250
Ac  0.579  0.421  0.750
Ac  0.734  0.266  0.110
Ac  0.734  0.266  0.390
H  0.164  0.836  0.750
H  0.836  0.164  0.250
Ir  0.371  0.629  0.062
Ir  0.371  0.629  0.438
Ir  0.629  0.371  0.562
Ir  0.629  0.371  0.938
Pb  0.110  0.890  0.250
Pb  0.890  0.110  0.750

---

Dy6Tl3Ni | GGA-PBE | optimized geometry

Output
Its space-group type is P2_1/c. As for the density of states at the Fermi level: 11.2 states/eV/f.u. The value obtained for the total magnetization is 0.00 μB/atom. Its energy of formation from the pure elements is -0.219 eV/atom.

Lattice parameters (Å, degrees): 6.154 8.815 11.919 90.00 118.04 90.00
Element x y z (fractional)
Dy  0.065  0.158  0.441
Dy  0.065  0.342  0.941
Dy  0.342  0.698  0.435
Dy  0.342  0.802  0.935
Dy  0.406  0.052  0.273
Dy  0.406  0.448  0.773
Dy  0.594  0.552  0.227
Dy  0.594  0.948  0.727
Dy  0.658  0.198  0.065
Dy  0.658  0.302  0.565
Dy  0.935  0.658  0.059
Dy  0.935  0.842  0.559
Tl  0.000  0.000  0.000
Tl  0.000  0.500  0.500
Tl  0.173  0.114  0.763
Tl  0.173  0.386  0.263
Tl  0.827  0.614  0.737
Tl  0.827  0.886  0.237
Ni  0.500  0.000  0.500
Ni  0.500  0.500  0.000

---

Co2AsS | GGA-PBE | optimized geometry

Output
Its space-group type is Fm-3m. As for the density of states at the Fermi level: 5.5 states/eV/f.u. The energy relative to the elements, uncorrected is 0.18 eV/atom. The value obtained for the total magnetization is 0.47 μB/atom.

Lattice parameters (Å, degrees): 5.892 5.892 5.892 90.00 90.00 90.00
Element x y z (fractional)
Co  0.250  0.250  0.250
Co  0.250  0.250  0.750
Co  0.250  0.750  0.250
Co  0.250  0.750  0.750
Co  0.750  0.250  0.250
Co  0.750  0.250  0.750
Co  0.750  0.750  0.250
Co  0.750  0.750  0.750
As  0.000  0.000  0.000
As  0.000  0.500  0.500
As  0.500  0.000  0.500
As  0.500  0.500  0.000
S  0.000  0.000  0.500
S  0.000  0.500  0.000
S  0.500  0.000  0.000
S  0.500  0.500  0.500

---

Tb2Tl3Cu | GGA-PBE | optimized geometry

Output
Its space-group type is Pmm2. As for the density of states at the Fermi level: 3.8 states/eV/f.u. The value obtained for the total magnetization is 0.00 μB/atom. Its energy of formation from the pure elements is -0.192 eV/atom.

Lattice parameters (Å, degrees): 3.634 4.849 8.553 90.00 90.00 90.00
Element x y z (fractional)
Tb  0.000  0.000  0.000
Tb  0.000  0.500  0.476
Tl  0.500  0.000  0.621
Tl  0.500  0.500  0.172
Tl  0.500  0.500  0.823
Cu  0.500  0.000  0.306

---

Na2GaHPd6 | GGA-PBE | optimized geometry

Output
Its space-group type is Fm-3m. As for the density of states at the Fermi level: 2.0 states/eV/f.u. As for the total energy: -41.9 eV per formula unit. The value obtained for the total magnetization is 0.00 μB/atom.

Lattice parameters (Å, degrees): 6.181 6.181 6.181 60.00 60.00 60.00
Element x y z (fractional)
Na  0.250  0.250  0.250
Na  0.750  0.750  0.750
Ga  0.000  0.000  0.000
H  0.500  0.500  0.500
Pd  0.273  0.273  0.727
Pd  0.273  0.727  0.273
Pd  0.273  0.727  0.727
Pd  0.727  0.273  0.273
Pd  0.727  0.273  0.727
Pd  0.727  0.727  0.273

---

Zr2ZnCu | GGA-PBE | optimized geometry

Output
Its space-group type is F-43m. As for the density of states at the Fermi level: 2.8 states/eV/f.u. The value obtained for the total magnetization is 0.73 μB/atom. Its energy of formation from the pure elements is 0.235 eV/atom.

Lattice parameters (Å, degrees): 6.689 6.689 6.689 90.00 90.00 90.00
Element x y z (fractional)
Zr  0.000  0.000  0.000
Zr  0.000  0.500  0.500
Zr  0.250  0.250  0.250
Zr  0.250  0.750  0.750
Zr  0.500  0.000  0.500
Zr  0.500  0.500  0.000
Zr  0.750  0.250  0.750
Zr  0.750  0.750  0.250
Zn  0.250  0.250  0.750
Zn  0.250  0.750  0.250
Zn  0.750  0.250  0.250
Zn  0.750  0.750  0.750
Cu  0.000  0.000  0.500
Cu  0.000  0.500  0.000
Cu  0.500  0.000  0.000
Cu  0.500  0.500  0.500